i.
This record from the Open Quantum Materials Database describes BeAsOsO after structural relaxation. The functional is PBE-GGA.

Summary:
Its total magnetization is 0.00 μB per cell. As for the space group: No. 129.

Cell and atoms, written as POSCAR:
```
BeAsOsO
1.0
3.611 0.000 0.000
0.000 3.611 0.000
0.000 0.000 9.008
Be As Os O
2 2 2 2
direct
0.250 0.250 0.010
0.750 0.750 0.990
0.250 0.250 0.307
0.750 0.750 0.693
0.250 0.750 0.500
0.750 0.250 0.500
0.250 0.750 0.000
0.750 0.250 0.000
```

ii.
This record from the Open Quantum Materials Database describes BeAsOsO after structural relaxation. The functional is PBE-GGA.

Summary:
Its total magnetization is 0.00 μB per cell. As for the space group: No. 26.

Cell and atoms, written as POSCAR:
```
BeAsOsO
1.0
2.968 0.000 0.000
0.000 5.832 0.000
0.000 0.000 5.852
Be As Os O
2 2 2 2
direct
0.000 0.153 0.000
0.000 0.847 0.500
0.000 0.244 0.539
0.000 0.756 0.039
0.500 0.499 0.803
0.500 0.501 0.303
0.500 0.234 0.054
0.500 0.766 0.554
```

Which is most stable, and by how much? i, by 173 meV/atom.